First-principles (PBE-GGA) data for Dy4P after structural relaxation, as listed in the Alexandria database.

The structure belongs to space group Pm-3m (No. 221); the cell edges are 5.374, 5.374 and 5.374 Å and the angles 90.00°, 90.00° and 90.00°. Symmetry generates all atoms from Dy at (0.000, 0.000, 0.000), Dy at (0.000, 0.500, 0.500) and P at (0.500, 0.500, 0.500).

The value obtained for the volume is 31.032 A^3/atom. For the formation energy from the elements, the calculation gives -0.3991 eV/atom. Its final energy is -0.1897 Ha/atom. The calculation puts the density of states at the Fermi level at 1.746 states/eV per atom.